[1]
First-principles (PBE) data for crystalline Sm7Ho2Tm3 at its relaxed geometry, as listed in the Alexandria database.

Cell lengths 3.608, 5.732, 19.130 Å; angles 98.62, 90.00, 90.00 degrees
Positions (direct):
Sm  0.000  0.407  0.815
Sm  0.000  0.768  0.536
Sm  0.000  0.000  0.000
Sm  0.000  0.593  0.185
Sm  0.500  0.072  0.145
Sm  0.500  0.928  0.855
Sm  0.000  0.232  0.464
Ho  0.000  0.851  0.702
Ho  0.000  0.149  0.298
Tm  0.500  0.500  0.000
Tm  0.500  0.685  0.370
Tm  0.500  0.315  0.630

Total moment, μB/cell: 0.00
DOS at the Fermi energy, states/eV per cell: 18.381
Energy above the lowest structure with this stoichiometry, meV per atom: 0



[2]
First-principles (PBE) data for crystalline Pm2TeCl2 at its relaxed geometry, as listed in the Alexandria database.

Cell lengths 4.239, 4.239, 10.673 Å; angles 78.55, 78.55, 60.00 degrees
Positions (direct):
Pm  0.608  0.608  0.177
Pm  0.392  0.392  0.823
Te  0.000  0.000  0.000
Cl  0.224  0.224  0.329
Cl  0.776  0.776  0.671

Energy relative to the elements, uncorrected, eV per atom: -1.720
Total moment, μB/cell: 0.00
DOS at the Fermi energy, states/eV per cell: 2.408



[3]
First-principles (PBE) data for crystalline YMgAu2 at its relaxed geometry, as listed in the Alexandria database.

Cell lengths 4.872, 4.872, 9.328 Å; angles 74.86, 74.86, 90.00 degrees
Positions (direct):
Y  0.000  0.000  0.000
Y  0.750  0.250  0.500
Mg  0.500  0.500  0.000
Mg  0.250  0.750  0.500
Au  0.553  0.125  0.250
Au  0.197  0.625  0.250
Au  0.375  0.447  0.750
Au  0.875  0.803  0.750

E, eV/atom: -3.939
Total moment, μB/cell: 0.00
DOS at the Fermi energy, states/eV per cell: 7.216



[4]
First-principles (PBE) data for crystalline La2Ge2Se at its relaxed geometry, as listed in the Alexandria database.

Cell lengths 8.278, 8.278, 8.278 Å; angles 30.69, 30.69, 30.69 degrees
Positions (direct):
La  0.412  0.412  0.412
La  0.588  0.588  0.588
Ge  0.173  0.173  0.173
Ge  0.827  0.827  0.827
Se  0.000  0.000  0.000

Energy relative to the elements, uncorrected, eV per atom: -1.227
Total moment, μB/cell: 0.00
DOS at the Fermi energy, states/eV per cell: 2.521
Energy above the lowest structure with this stoichiometry, meV per atom: 0



- total moment of number 2 (Pm2TeCl2)?
  0.00 μB/cell



- What is the formula in the fourth record?
  La2Ge2Se



- The highest DOS at the Fermi energy belongs to which entry?
  Sm7Ho2Tm3



- The highest DOS at the Fermi energy belongs to which entry?
  Sm7Ho2Tm3